Material: Eu2NiO4
Method: DFT, PBE with a Hubbard U
State: optimized geometry

Cell and atoms, written as POSCAR:
```
Eu2NiO4
1.0
2.6608 -6.0693 0.0000
2.6608 6.0693 0.0000
0.0000 0.0000 5.5714
Eu Ni O
4 2 8
Direct
0.1404 0.8596 0.9815
0.3596 0.6404 0.4815
0.6404 0.3596 0.5185
0.8596 0.1404 0.0185
0.0000 0.0000 0.5000
0.5000 0.5000 0.0000
0.1742 0.8258 0.5578
0.2320 0.2680 0.7500
0.2680 0.2320 0.2500
0.3258 0.6742 0.0578
0.6742 0.3258 0.9422
0.7320 0.7680 0.7500
0.7680 0.7320 0.2500
0.8258 0.1742 0.4422
```

Values from the calculation:
Calculated total energy (eV per cell): -116.87
Relative energy among the computed polymorphs (eV per formula unit): 0.00

Material: EuNiO3
Method: DFT, PBE with a Hubbard U
State: optimized geometry

Cell and atoms, written as POSCAR:
```
EuNiO3
1.0
3.8182 0.0000 0.0000
0.0000 3.8182 0.0000
0.0000 0.0000 3.8182
Eu Ni O
1 1 3
Direct
0.0000 0.0000 0.0000
0.5000 0.5000 0.5000
0.0000 0.5000 0.5000
0.5000 0.0000 0.5000
0.5000 0.5000 0.0000
```

Values from the calculation:
Calculated total energy (eV per cell): -36.11